1.
The following is a SCAN calculation of a crystal of LiTlPb2 relaxed with PBEsol, from the Alexandria database. Values from VASP.

Structure (Quantum ESPRESSO input):
```
&SYSTEM
  ibrav = 0, nat = 4, ntyp = 3
/
ATOMIC_SPECIES
Pb 207.20 Pb.upf
Tl 204.38 Tl.upf
Li 6.94 Li.upf
ATOMIC_POSITIONS angstrom
Pb 0.0000 0.0000 0.0000
Pb 2.3620 0.0000 2.3667
Tl 2.3620 2.3522 0.0000
Li 0.0000 2.3522 2.3667
CELL_PARAMETERS angstrom
4.7239 0.0000 0.0000
0.0000 4.7045 0.0000
0.0000 0.0000 4.7335
```

Computed properties:
VASP energy	-56.73	eV per atom
Fermi-level density of states	0.402	states/eV per atom

---

2.
The following is a SCAN calculation of a crystal of Li2TlPb relaxed with PBEsol, from the Alexandria database. Values from VASP.

Structure (Quantum ESPRESSO input):
```
&SYSTEM
  ibrav = 0, nat = 4, ntyp = 3
/
ATOMIC_SPECIES
Pb 207.20 Pb.upf
Tl 204.38 Tl.upf
Li 6.94 Li.upf
ATOMIC_POSITIONS angstrom
Pb -1.2700 -0.1726 2.5727
Tl -1.9074 -2.9826 4.0789
Li -2.6157 -0.3555 5.2987
Li -0.5248 -2.7947 1.2782
CELL_PARAMETERS angstrom
-2.2724 -2.6086 -1.2968
2.5871 -2.7953 1.0896
-2.6531 -0.3606 5.3743
```

Computed properties:
VASP energy	-38.50	eV per atom
offset from the most stable computed form	87	meV/atom
Fermi-level density of states	0.346	states/eV per atom

---

3.
The following is a SCAN calculation of a crystal of LiTlPb2 relaxed with PBEsol, from the Alexandria database. Values from VASP.

Structure (Quantum ESPRESSO input):
```
&SYSTEM
  ibrav = 0, nat = 4, ntyp = 3
/
ATOMIC_SPECIES
Pb 207.20 Pb.upf
Tl 204.38 Tl.upf
Li 6.94 Li.upf
ATOMIC_POSITIONS angstrom
Pb 5.8508 3.1232 -0.8644
Pb 1.4108 1.6777 2.4571
Tl 3.0490 1.6275 -0.4504
Li 4.3518 3.2476 2.0226
CELL_PARAMETERS angstrom
-1.3966 2.9875 1.3412
1.2439 -1.2198 4.0125
5.9261 3.1633 -0.8755
```

Computed properties:
VASP energy	-56.72	eV per atom
Fermi-level density of states	0.385	states/eV per atom

---

4.
The following is a SCAN calculation of a crystal of LiTlPb relaxed with PBEsol, from the Alexandria database. Values from VASP.

Structure (Quantum ESPRESSO input):
```
&SYSTEM
  ibrav = 0, nat = 3, ntyp = 3
/
ATOMIC_SPECIES
Pb 207.20 Pb.upf
Tl 204.38 Tl.upf
Li 6.94 Li.upf
ATOMIC_POSITIONS angstrom
Pb 1.8329 1.8329 1.7296
Tl 0.0000 0.0000 3.7468
Li 1.8329 1.8329 5.3794
CELL_PARAMETERS angstrom
3.6658 0.0000 0.0000
0.0000 3.6658 0.0000
-1.8329 -1.8329 5.4279
```

Computed properties:
VASP energy	-50.38	eV per atom
Fermi-level density of states	0.351	states/eV per atom

---

5.
The following is a SCAN calculation of a crystal of LiTlPb2 relaxed with PBEsol, from the Alexandria database. Values from VASP.

Structure (Quantum ESPRESSO input):
```
&SYSTEM
  ibrav = 0, nat = 4, ntyp = 3
/
ATOMIC_SPECIES
Pb 207.20 Pb.upf
Tl 204.38 Tl.upf
Li 6.94 Li.upf
ATOMIC_POSITIONS angstrom
Pb 0.0000 0.0000 0.0000
Pb -2.3200 -0.5037 2.3399
Tl -3.2319 0.6593 -0.6479
Li -2.1830 -2.4922 -0.3669
CELL_PARAMETERS angstrom
-3.3688 2.6478 2.0590
-3.0950 -1.3291 -3.3547
1.9608 -4.3146 3.2688
```

Computed properties:
VASP energy	-56.73	eV per atom
Fermi-level density of states	0.384	states/eV per atom

---

6.
The following is a SCAN calculation of a crystal of Li2TlPb relaxed with PBEsol, from the Alexandria database. Values from VASP.

Structure (Quantum ESPRESSO input):
```
&SYSTEM
  ibrav = 0, nat = 8, ntyp = 3
/
ATOMIC_SPECIES
Pb 207.20 Pb.upf
Tl 204.38 Tl.upf
Li 6.94 Li.upf
ATOMIC_POSITIONS angstrom
Pb 0.0000 0.0000 0.0000
Pb -1.5476 2.7359 2.7182
Tl 1.5957 2.7241 0.0000
Tl 3.1433 -0.0118 2.7182
Li 1.9666 3.4215 2.6858
Li 0.4269 0.6646 2.7506
Li -2.7164 0.6765 5.4040
Li 3.5142 0.6856 0.0324
CELL_PARAMETERS angstrom
6.2865 -0.0237 0.0000
-3.0952 5.4718 0.0000
-1.5957 -2.7241 5.4364
```

Computed properties:
VASP energy	-38.37	eV per atom
offset from the most stable computed form	216	meV/atom
Fermi-level density of states	0.379	states/eV per atom

---

7.
The following is a SCAN calculation of a crystal of LiTl2Pb relaxed with PBEsol, from the Alexandria database. Values from VASP.

Structure (Quantum ESPRESSO input):
```
&SYSTEM
  ibrav = 0, nat = 4, ntyp = 3
/
ATOMIC_SPECIES
Pb 207.20 Pb.upf
Tl 204.38 Tl.upf
Li 6.94 Li.upf
ATOMIC_POSITIONS angstrom
Pb 0.0000 2.3148 2.4010
Tl 0.0000 0.0000 0.0000
Tl 2.3148 0.0000 2.4010
Li 2.3148 2.3148 0.0000
CELL_PARAMETERS angstrom
4.6296 0.0000 0.0000
0.0000 4.6296 0.0000
-2.3148 -2.3148 4.8021
```

Computed properties:
VASP energy	-55.85	eV per atom
offset from the most stable computed form	24	meV/atom
Fermi-level density of states	0.369	states/eV per atom

---

8.
The following is a SCAN calculation of a crystal of LiTlPb2 relaxed with PBEsol, from the Alexandria database. Values from VASP.

Structure (Quantum ESPRESSO input):
```
&SYSTEM
  ibrav = 0, nat = 4, ntyp = 3
/
ATOMIC_SPECIES
Pb 207.20 Pb.upf
Tl 204.38 Tl.upf
Li 6.94 Li.upf
ATOMIC_POSITIONS angstrom
Pb 2.3545 0.0000 2.3756
Pb 0.0000 2.3545 2.3756
Tl 2.3545 2.3545 0.0000
Li 0.0000 0.0000 0.0000
CELL_PARAMETERS angstrom
4.7090 0.0000 0.0000
0.0000 4.7090 0.0000
-2.3545 -2.3545 4.7511
```

Computed properties:
VASP energy	-56.73	eV per atom
Fermi-level density of states	0.388	states/eV per atom